5
Lattice="4.705 0.000 0.000 0.000 4.705 0.000 0.000 0.000 4.118" Properties=species:S:1:pos:R:3 comment="PBE+U CrTeOF2, optimized geometry" polymorph_energy_mev_per_atom=372 magnetic_moment_mub_per_fu=5.14 vol_a3_per_atom=18.23 mass_density_g_cm3=4.26 dft_energy_ev_per_atom=-4.732 pbc="T T T"
F 0.000 2.353 0.000
F 2.353 0.000 0.000
O 0.000 0.000 2.059
Te 0.000 0.000 0.000
Cr 2.353 2.353 2.059